A geometry-optimized SrPRuCl2 structure, computed with PBE.

The calculation puts the uncorrected formation energy at 0.486 eV/atom. The value obtained for the energy relative to the lowest polymorph listed for this composition is 1.2130 eV per atom. As for the calculated total energy: -3.53 eV/atom.

The structure belongs to space group P4/mmm (No. 123); the cell edges are 5.3317, 5.3317 and 6.1560 Å and the angles 90.00°, 90.00° and 90.00°. The inequivalent atoms are Sr at (0.0000, 0.0000, 0.0000), P at (0.0000, 0.0000, 0.5000), Ru at (0.5000, 0.5000, 0.5000) and Cl at (0.0000, 0.5000, 0.0000).